V2CrSb: optimized geometry, PBE-GGA.

Values from the calculation:
D(E_F)   17.219 states/eV per cell
E_form (uncorrected)   0.565 eV per atom

Lattice parameters (Å, degrees): 3.764 3.764 18.937 90.00 90.00 90.00
Space group I-42d (No. 122)
Unique sites:
V1 0.248 0.250 0.125
Cr1 0.000 0.000 0.500
Sb1 0.000 0.000 0.000